WIO2 after structural relaxation. Source: Alexandria via LeMat-Bulk, functional GGA+U.

polymorph energy (0 for the lowest one)	1.820	eV/atom

Unit cell a=6.0821 b=6.0821 c=6.0821 alpha=90.00 beta=90.00 gamma=90.00
Space group Fm-3m (No. 225)
One atom of each set of equivalent atoms:
W1 0.0000 0.0000 0.0000 (multiplicity 4)
I1 0.0000 0.0000 0.5000 (multiplicity 4)
O1 0.2500 0.2500 0.2500 (multiplicity 8)